PmY2Ho2, optimized geometry, DFT PBE-GGA; DFT formation energy = 8.24 kJ per mole of atoms; space-group type = P4/mbm (127); final energy = -5.28 eV/atom
1.0
9.379 0.000 0.000
0.000 9.379 0.000
0.000 0.000 3.738
Pm Y Ho
2 4 4
Direct
0.000 0.000 0.000 Pm
0.500 0.500 0.000 Pm
0.172 0.328 0.500 Y
0.328 0.828 0.500 Y
0.672 0.172 0.500 Y
0.828 0.672 0.500 Y
0.125 0.625 0.000 Ho
0.375 0.125 0.000 Ho
0.625 0.875 0.000 Ho
0.875 0.375 0.000 Ho

=====

FeHgI2, optimized geometry, DFT PBE-GGA; raw formation energy = 0.10 eV per atom; space-group type = R-3m (166); final energy = -2.87 eV/atom
1.0
1.925 1.112 10.912
-1.925 1.112 10.912
0.000 -2.223 10.912
Fe Hg I
1 1 2
Direct
0.000 0.000 0.000 Fe
0.500 0.500 0.500 Hg
0.376 0.376 0.376 I
0.624 0.624 0.624 I

=====

CrCdBr2, optimized geometry, DFT PBE-GGA; raw formation energy = 0.03 eV per atom; space-group type = R-3m (166); final energy = -3.44 eV/atom
1.0
2.268 1.309 8.404
-2.268 1.309 8.404
0.000 -2.618 8.404
Cr Cd Br
1 1 2
Direct
0.000 0.000 0.000 Cr
0.500 0.500 0.500 Cd
0.097 0.097 0.097 Br
0.903 0.903 0.903 Br

=====

ErScFe10, optimized geometry, DFT PBE-GGA; DFT formation energy = -6.02 kJ per mole of atoms; space-group type = Pmmm (47); final energy = -8.02 eV/atom
1.0
3.949 0.000 0.000
0.000 4.905 0.000
0.000 0.000 8.470
Er Sc Fe
1 1 10
Direct
0.000 0.000 0.000 Er
0.000 0.500 0.500 Sc
0.000 0.000 0.338 Fe
0.000 0.000 0.662 Fe
0.000 0.500 0.171 Fe
0.000 0.500 0.829 Fe
0.500 0.000 0.500 Fe
0.500 0.251 0.254 Fe
0.500 0.251 0.746 Fe
0.500 0.500 0.000 Fe
0.500 0.749 0.254 Fe
0.500 0.749 0.746 Fe

=====

ZrTl2Pb3Se6, optimized geometry, DFT PBE-GGA; raw formation energy = -0.70 eV per atom; space-group type = C2/m (12); final energy = -4.48 eV/atom
1.0
3.873 -6.742 0.000
3.873 6.742 0.000
-2.564 0.000 6.839
Zr Tl Pb Se
1 2 3 6
Direct
0.000 0.000 0.000 Zr
0.327 0.673 0.000 Tl
0.673 0.327 0.000 Tl
0.156 0.844 0.500 Pb
0.500 0.500 0.500 Pb
0.844 0.156 0.500 Pb
0.081 0.366 0.234 Se
0.216 0.216 0.761 Se
0.366 0.081 0.234 Se
0.634 0.919 0.766 Se
0.784 0.784 0.239 Se
0.919 0.634 0.766 Se

=====

InHIr, optimized geometry, DFT PBE-GGA; space-group type = P-6m2 (187); final energy = -4.91 eV/atom
1.0
3.287 0.000 0.000
-1.644 2.847 0.000
0.000 0.000 4.208
In H Ir
1 1 1
Direct
0.000 0.000 0.000 In
0.333 0.667 0.500 H
0.667 0.333 0.500 Ir

=====

KTl12Pd6, optimized geometry, DFT PBE-GGA; DFT formation energy = -9.07 kJ per mole of atoms; space-group type = R-3m (166); final energy = -3.29 eV/atom
1.0
6.549 3.781 3.308
-6.549 3.781 3.308
0.000 -7.562 3.308
K Tl Pd
1 12 6
Direct
0.000 0.000 0.000 K
0.120 0.500 0.880 Tl
0.120 0.880 0.500 Tl
0.161 0.420 0.420 Tl
0.420 0.161 0.420 Tl
0.420 0.420 0.161 Tl
0.500 0.120 0.880 Tl
0.500 0.880 0.120 Tl
0.580 0.580 0.839 Tl
0.580 0.839 0.580 Tl
0.839 0.580 0.580 Tl
0.880 0.120 0.500 Tl
0.880 0.500 0.120 Tl
0.269 0.269 0.699 Pd
0.269 0.699 0.269 Pd
0.301 0.731 0.731 Pd
0.699 0.269 0.269 Pd
0.731 0.301 0.731 Pd
0.731 0.731 0.301 Pd

=====

Y3Rh4, optimized geometry, DFT PBE-GGA; DFT formation energy = -35.76 kJ per mole of atoms; space-group type = I4/mmm (139); final energy = -7.34 eV/atom
1.0
-1.850 1.850 10.394
1.850 -1.850 10.394
1.850 1.850 -10.394
Y Rh
3 4
Direct
0.000 0.000 0.000 Y
0.307 0.307 0.000 Y
0.693 0.693 0.000 Y
0.147 0.147 0.000 Rh
0.434 0.434 0.000 Rh
0.566 0.566 0.000 Rh
0.853 0.853 0.000 Rh

=====

BaMoCl, optimized geometry, DFT PBE-GGA; raw formation energy = -0.53 eV per atom; space-group type = C2/m (12); final energy = -5.39 eV/atom
1.0
9.288 -2.025 0.000
9.288 2.025 0.000
-0.093 0.000 4.545
Ba Mo Cl
2 2 2
Direct
0.132 0.132 0.243 Ba
0.868 0.868 0.757 Ba
0.476 0.476 0.280 Mo
0.524 0.524 0.720 Mo
0.318 0.318 0.256 Cl
0.682 0.682 0.744 Cl

=====

Rb2LiInI6, optimized geometry, DFT PBE-GGA; raw formation energy = -1.00 eV per atom; space-group type = P1 (1); final energy = -2.59 eV/atom
1.0
8.254 0.000 0.000
3.921 7.273 0.000
3.910 2.357 6.891
Rb Li In I
2 1 1 6
Direct
0.000 0.000 0.000 Rb
0.494 0.493 0.493 Rb
0.248 0.244 0.245 Li
0.748 0.747 0.748 In
0.059 0.931 0.511 I
0.438 0.565 0.988 I
0.509 0.058 0.931 I
0.565 0.991 0.437 I
0.931 0.507 0.060 I
0.990 0.438 0.564 I

=====

Pa2Co3P4Os, optimized geometry, DFT PBE-GGA; DFT formation energy = -91.20 kJ per mole of atoms; space-group type = P-4m2 (115); final energy = -8.26 eV/atom
1.0
4.016 0.000 0.000
0.000 4.016 0.000
0.000 0.000 9.022
Pa Co P Os
2 3 4 1
Direct
0.000 0.500 0.242 Pa
0.500 0.000 0.758 Pa
0.000 0.500 0.890 Co
0.500 0.000 0.110 Co
0.500 0.500 0.500 Co
0.000 0.000 0.000 P
0.000 0.500 0.641 P
0.500 0.000 0.359 P
0.500 0.500 0.000 P
0.000 0.000 0.500 Os

=====

TbInGe, optimized geometry, DFT PBE-GGA; DFT formation energy = -24.51 kJ per mole of atoms; space-group type = P-3m1 (164); final energy = -4.25 eV/atom
1.0
5.039 0.000 0.000
-2.519 4.364 0.000
0.000 0.000 6.892
Tb In Ge
2 2 2
Direct
0.333 0.667 0.366 Tb
0.667 0.333 0.634 Tb
0.333 0.667 0.899 In
0.667 0.333 0.101 In
0.000 0.000 0.311 Ge
0.000 0.000 0.689 Ge

=====

> Among the records above, which one has the lowest final energy?

Pa2Co3P4Os

=====

> Look up the final energy of the fifth one.

-4.48 eV/atom

=====

> final energy of number 12 (TbInGe)?

-4.25 eV/atom